1.
This record from Alexandria describes a relaxed structure of VTc. The functional is PBE.

abc: 4.9676 4.9676 4.9284
angles: 90.00 90.00 90.00
Closest atoms and distances in Å follow each position.
Positions (direct):
1 V 0.2042 0.7958 0.0000  6 Tc 2.46-2.54
2 V 0.7042 0.7042 0.5000  6 Tc 2.46-2.54
3 V 0.2958 0.2958 0.5000  6 Tc 2.46-2.54
4 V 0.7958 0.2042 0.0000  6 Tc 2.46-2.54
5 Tc 0.2909 0.2909 0.0000  6 V 2.46-2.54
6 Tc 0.7909 0.2091 0.5000  6 V 2.46-2.54
7 Tc 0.2091 0.7909 0.5000  6 V 2.46-2.54
8 Tc 0.7091 0.7091 0.0000  6 V 2.46-2.54

Energy relative to the elements   0.60 eV per atom
Fermi-level density of states   1.010 states/eV/atom
Total magnetic moment   0.00 μB/f.u.



2.
This record from Alexandria describes a relaxed structure of V5Tc3. The functional is PBE.

abc: 3.0109 3.0109 12.1259
angles: 90.00 90.00 90.00
Closest atoms and distances in Å follow each position.
Positions (direct):
1 V 0.0000 0.0000 0.2493  4 Tc 2.60, 4 V 2.63
2 V 0.5000 0.5000 0.6241  4 Tc 2.61, 4 V 2.63
3 V 0.5000 0.5000 0.3759  4 Tc 2.61, 4 V 2.63
4 V 0.0000 0.0000 0.7507  4 Tc 2.60, 4 V 2.63
5 V 0.0000 0.0000 0.0000  8 Tc 2.62
6 Tc 0.5000 0.5000 0.1263  8 V 2.60-2.62
7 Tc 0.5000 0.5000 0.8737  8 V 2.60-2.62
8 Tc 0.0000 0.0000 0.5000  8 V 2.61

Energy relative to the elements   -0.34 eV per atom
Fermi-level density of states   0.640 states/eV/atom
Total magnetic moment   0.00 μB/f.u.



3.
This record from Alexandria describes a relaxed structure of V5Tc. The functional is PBE.

abc: 5.0095 5.0351 7.5395
angles: 90.00 90.00 120.17
Closest atoms and distances in Å follow each position.
Positions (direct):
1 V 0.7508 0.1132 0.2500  2 Tc 2.52, 6 V 2.61-2.69
2 V 0.2492 0.8868 0.7500  2 Tc 2.52, 6 V 2.61-2.69
3 V 0.2485 0.0464 0.4205  7 V 2.50-2.69, 1 Tc 2.68
4 V 0.7515 0.9536 0.9205  7 V 2.50-2.69, 1 Tc 2.68
5 V 0.7515 0.9536 0.5795  7 V 2.50-2.69, 1 Tc 2.68
6 V 0.2485 0.0464 0.0795  7 V 2.50-2.69, 1 Tc 2.68
7 V 0.2501 0.5503 0.4212  6 V 2.50-2.69, 2 Tc 2.61-2.69
8 V 0.7499 0.4497 0.9212  6 V 2.50-2.69, 2 Tc 2.61-2.69
9 V 0.7499 0.4497 0.5788  6 V 2.50-2.69, 2 Tc 2.61-2.69
10 V 0.2501 0.5503 0.0788  6 V 2.50-2.69, 2 Tc 2.61-2.69
11 Tc 0.7485 0.6119 0.2500  8 V 2.52-2.69
12 Tc 0.2515 0.3881 0.7500  8 V 2.52-2.69

Energy relative to the elements   -0.07 eV per atom
Fermi-level density of states   1.092 states/eV/atom
Total magnetic moment   0.00 μB/f.u.



4.
This record from Alexandria describes a relaxed structure of VTc. The functional is PBE.

abc: 9.4333 7.7961 6.6022
angles: 90.00 90.00 90.00
Closest atoms and distances in Å follow each position.
Positions (direct):
1 V 0.0000 0.1788 0.0000  4 Tc 2.45
2 V 0.0000 0.8212 0.0000  4 Tc 2.45
3 V 0.2500 0.5712 0.2500  4 Tc 2.45
4 V 0.2500 0.9288 0.2500  4 Tc 2.45
5 V 0.0000 0.6788 0.5000  4 Tc 2.45
6 V 0.0000 0.3212 0.5000  4 Tc 2.45
7 V 0.2500 0.0712 0.7500  4 Tc 2.45
8 V 0.2500 0.4288 0.7500  4 Tc 2.45
9 V 0.5000 0.1788 0.5000  4 Tc 2.45
10 V 0.5000 0.8212 0.5000  4 Tc 2.45
11 V 0.7500 0.5712 0.7500  4 Tc 2.45
12 V 0.7500 0.9288 0.7500  4 Tc 2.45
13 V 0.5000 0.6788 0.0000  4 Tc 2.45
14 V 0.5000 0.3212 0.0000  4 Tc 2.45
15 V 0.7500 0.0712 0.2500  4 Tc 2.45
16 V 0.7500 0.4288 0.2500  4 Tc 2.45
17 Tc 0.0000 0.0000 0.3059  4 V 2.45, 1 Tc 2.56
18 Tc 0.0000 0.0000 0.6941  4 V 2.45, 1 Tc 2.56
19 Tc 0.2500 0.7500 0.9441  4 V 2.45, 1 Tc 2.56
20 Tc 0.2500 0.7500 0.5559  4 V 2.45, 1 Tc 2.56
21 Tc 0.0000 0.5000 0.8059  4 V 2.45, 1 Tc 2.56
22 Tc 0.0000 0.5000 0.1941  4 V 2.45, 1 Tc 2.56
23 Tc 0.2500 0.2500 0.4441  4 V 2.45, 1 Tc 2.56
24 Tc 0.2500 0.2500 0.0559  4 V 2.45, 1 Tc 2.56
25 Tc 0.5000 0.0000 0.8059  4 V 2.45, 1 Tc 2.56
26 Tc 0.5000 0.0000 0.1941  4 V 2.45, 1 Tc 2.56
27 Tc 0.7500 0.7500 0.4441  4 V 2.45, 1 Tc 2.56
28 Tc 0.7500 0.7500 0.0559  4 V 2.45, 1 Tc 2.56
29 Tc 0.5000 0.5000 0.3059  4 V 2.45, 1 Tc 2.56
30 Tc 0.5000 0.5000 0.6941  4 V 2.45, 1 Tc 2.56
31 Tc 0.7500 0.2500 0.9441  4 V 2.45, 1 Tc 2.56
32 Tc 0.7500 0.2500 0.5559  4 V 2.45, 1 Tc 2.56

Energy relative to the elements   0.37 eV per atom
Fermi-level density of states   0.762 states/eV/atom
Total magnetic moment   0.00 μB/f.u.



- Fermi-level density of states of number 4 (VTc)?
  0.762 states/eV/atom